Na2ErNiO4 | PBE with a Hubbard U | relaxed

POSCAR file:
```
Na2ErNiO4
1.0
5.451 0.000 0.000
0.000 3.256 0.000
-1.858 0.000 5.493
Na Er Ni O
2 1 1 4
direct
0.000 0.000 0.000
0.500 0.500 0.000
0.000 0.500 0.500
0.500 0.000 0.500
0.257 0.000 0.708
0.281 0.500 0.293
0.719 0.500 0.707
0.743 0.000 0.292
```

## Properties
As for the space-group type: P2/m, No. 10. Its spin magnetization is 3.05 Bohr magnetons per cell. Its total energy is -5.551 eV per atom.